{"formula": "Mg2ZrAu", "functional": "SCAN", "state": "single point on PBEsol structure", "crystal_system": "orthorhombic", "spacegroup": "Amm2, No. 38", "density_g_cm3": 7.067, "total_energy_ev_per_cell": -111.2, "polymorph_energy_ev_per_fu": 0.24, "formation_energy_kj_per_mol_atoms": -33, "cell": [[2.9899, 0.0000, -0.1439], [0.0000, 4.5072, 0.0000], [-1.2158, 0.0000, 5.9311]], "species": ["Zr", "Mg", "Au", "Mg"], "frac_coords": [[0.0790, 0.0000, 0.5323], [0.4265, 0.5000, 0.2287], [0.6794, 0.5000, 0.7329], [0.8151, 0.0000, 0.0060]]}